Ac6PmPr2: optimized geometry, PBE-GGA.

```
9
Lattice="5.666 -0.001 0.001 0.000 8.433 4.279 -0.001 1.963 9.250" Properties=species:S:1:pos:R:3 pbc="T T T"
Ac 0.000 5.109 3.662
Ac 5.665 8.173 7.651
Ac 5.665 5.286 9.869
Ac 2.833 6.664 5.638
Ac -0.001 2.223 5.880
Ac 2.832 3.731 7.892
Pm 0.000 0.000 0.000
Pr 2.833 2.381 3.100
Pr 2.832 8.014 10.431
```

Calculated values
Space group: Cmmm
DOS(E_F): 12.13 states/eV/f.u.
ΔE to the lowest computed polymorph: 180.6 kJ/mol of formula units
Energy of formation: 27.4 kJ per mole of atoms
Total magnetic moment: 0.0 μB per formula unit